# KIrBr2 (PBE-GGA, optimized geometry)
data_KIrBr2
_symmetry_space_group_name_H-M 'P 1'
_symmetry_Int_Tables_number 1
_symmetry_space_group_name_Hall 'P 1'
_cell_length_a 9.131
_cell_length_b 9.131
_cell_length_c 9.131
_cell_angle_alpha 25.98
_cell_angle_beta 25.98
_cell_angle_gamma 25.98
loop_
_atom_site_label
_atom_site_type_symbol
_atom_site_fract_x
_atom_site_fract_y
_atom_site_fract_z
Ir1 Ir 0.500 0.500 0.500
Br1 Br 0.120 0.120 0.120
Br2 Br 0.880 0.880 0.880
K1 K 0.000 0.000 0.000
# spin magnetization: 1.3 μB/cell
# uncorrected energy: -12.784 eV per cell

# KIr2Br (PBE-GGA, optimized geometry)
data_KIr2Br
_symmetry_space_group_name_H-M 'P 1'
_symmetry_Int_Tables_number 1
_symmetry_space_group_name_Hall 'P 1'
_cell_length_a 4.839
_cell_length_b 4.839
_cell_length_c 4.839
_cell_angle_alpha 60.00
_cell_angle_beta 60.00
_cell_angle_gamma 60.00
loop_
_atom_site_label
_atom_site_type_symbol
_atom_site_fract_x
_atom_site_fract_y
_atom_site_fract_z
Ir1 Ir 0.250 0.250 0.250
Br1 Br 0.500 0.500 0.500
Ir2 Ir 0.000 0.000 0.000
K1 K 0.750 0.750 0.750
# spin magnetization: 2.6 μB/cell
# uncorrected energy: -15.948 eV per cell

# KIrBr2 (PBE-GGA, optimized geometry)
data_KIrBr2
_symmetry_space_group_name_H-M 'P 1'
_symmetry_Int_Tables_number 1
_symmetry_space_group_name_Hall 'P 1'
_cell_length_a 4.299
_cell_length_b 4.299
_cell_length_c 7.062
_cell_angle_alpha 72.35
_cell_angle_beta 72.35
_cell_angle_gamma 60.28
loop_
_atom_site_label
_atom_site_type_symbol
_atom_site_fract_x
_atom_site_fract_y
_atom_site_fract_z
Ir1 Ir 0.250 0.250 0.250
Br1 Br 0.979 0.979 0.065
K1 K 0.750 0.750 0.750
Br2 Br 0.521 0.521 0.435
# spin magnetization: 2.0 μB/cell
# uncorrected energy: -13.665 eV per cell

# KIr2Br (PBE-GGA, optimized geometry)
data_KIr2Br
_symmetry_space_group_name_H-M 'P 1'
_symmetry_Int_Tables_number 1
_symmetry_space_group_name_Hall 'P 1'
_cell_length_a 6.052
_cell_length_b 6.052
_cell_length_c 6.052
_cell_angle_alpha 143.25
_cell_angle_beta 118.40
_cell_angle_gamma 73.92
loop_
_atom_site_label
_atom_site_type_symbol
_atom_site_fract_x
_atom_site_fract_y
_atom_site_fract_z
Ir1 Ir 0.846 0.346 0.500
Ir2 Ir 0.984 0.984 0.000
Br1 Br 0.178 0.678 0.500
K1 K 0.492 0.492 0.000
# spin magnetization: 0.0 μB/cell
# uncorrected energy: -18.341 eV per cell

# KIr2Br (PBE-GGA, optimized geometry)
data_KIr2Br
_symmetry_space_group_name_H-M 'P 1'
_symmetry_Int_Tables_number 1
_symmetry_space_group_name_Hall 'P 1'
_cell_length_a 6.850
_cell_length_b 2.675
_cell_length_c 4.895
_cell_angle_alpha 89.88
_cell_angle_beta 90.00
_cell_angle_gamma 90.00
loop_
_atom_site_label
_atom_site_type_symbol
_atom_site_fract_x
_atom_site_fract_y
_atom_site_fract_z
K1 K 0.500 0.250 0.250
Ir1 Ir 0.000 0.999 0.012
Ir2 Ir 0.000 0.501 0.488
Br1 Br 0.500 0.750 0.750
# spin magnetization: 0.0 μB/cell
# uncorrected energy: -17.773 eV per cell

# KIr2Br (PBE-GGA, optimized geometry)
data_KIr2Br
_symmetry_space_group_name_H-M 'P 1'
_symmetry_Int_Tables_number 1
_symmetry_space_group_name_Hall 'P 1'
_cell_length_a 6.245
_cell_length_b 6.245
_cell_length_c 4.810
_cell_angle_alpha 67.36
_cell_angle_beta 67.36
_cell_angle_gamma 26.53
loop_
_atom_site_label
_atom_site_type_symbol
_atom_site_fract_x
_atom_site_fract_y
_atom_site_fract_z
K1 K 0.250 0.250 0.250
Ir1 Ir 0.024 0.024 0.976
Br1 Br 0.750 0.750 0.750
Ir2 Ir 0.476 0.476 0.524
# spin magnetization: 0.0 μB/cell
# uncorrected energy: -17.872 eV per cell

# KIrBr (PBE-GGA, optimized geometry)
data_KIrBr
_symmetry_space_group_name_H-M 'P 1'
_symmetry_Int_Tables_number 1
_symmetry_space_group_name_Hall 'P 1'
_cell_length_a 4.823
_cell_length_b 4.823
_cell_length_c 4.823
_cell_angle_alpha 60.00
_cell_angle_beta 60.00
_cell_angle_gamma 60.00
loop_
_atom_site_label
_atom_site_type_symbol
_atom_site_fract_x
_atom_site_fract_y
_atom_site_fract_z
K1 K 0.000 0.000 0.000
Ir1 Ir 0.750 0.750 0.750
Br1 Br 0.500 0.500 0.500
# spin magnetization: 1.1 μB/cell
# uncorrected energy: -8.903 eV per cell

# KIrBr2 (PBE-GGA, optimized geometry)
data_KIrBr2
_symmetry_space_group_name_H-M 'P 1'
_symmetry_Int_Tables_number 1
_symmetry_space_group_name_Hall 'P 1'
_cell_length_a 3.805
_cell_length_b 3.814
_cell_length_c 7.661
_cell_angle_alpha 90.00
_cell_angle_beta 90.00
_cell_angle_gamma 90.00
loop_
_atom_site_label
_atom_site_type_symbol
_atom_site_fract_x
_atom_site_fract_y
_atom_site_fract_z
K1 K 0.500 0.500 0.789
Br1 Br 0.500 0.500 0.375
Br2 Br 0.000 0.000 0.998
Ir1 Ir 0.000 0.000 0.338
# spin magnetization: 1.2 μB/cell
# uncorrected energy: -13.304 eV per cell

For each record above, in turn, the calculated energy relative to the lowest polymorph listed for this composition values are 189 377 104 146 201 191 179 139 kJ/mol of formula units.